1.
Material: RbTl2Se2O6
Method: DFT, PBE-GGA
State: optimized geometry

abc: 8.1472 8.1472 8.1472
angles: 44.94 44.94 44.94
With the nearest neighbours (Å) after each atom.
Positions (direct):
Rb  0.0000  0.0000  0.0000  6 O 2.92
Tl  0.1868  0.1868  0.1868  3 O 2.80
Tl  0.8132  0.8132  0.8132  3 O 2.80
Se  0.4030  0.4030  0.4030  3 O 1.71
Se  0.5970  0.5970  0.5970  3 O 1.71
O  0.2729  0.7181  0.7181  1 Se 1.71
O  0.2819  0.2819  0.7271  1 Se 1.71
O  0.2819  0.7271  0.2819  1 Se 1.71
O  0.7181  0.2729  0.7181  1 Se 1.71
O  0.7181  0.7181  0.2729  1 Se 1.71
O  0.7271  0.2819  0.2819  1 Se 1.71

Calculated values
D(E_F)	0.315	states/eV per atom

=====

2.
Material: RbTmSe2O6
Method: DFT, PBE-GGA
State: optimized geometry

abc: 7.2289 7.2289 7.2289
angles: 46.49 46.49 46.49
With the nearest neighbours (Å) after each atom.
Positions (direct):
Rb  0.0000  0.0000  0.0000  6 O 3.09
Tm  0.5000  0.5000  0.5000  6 O 2.23
Se  0.2684  0.2684  0.2684  3 O 1.72
Se  0.7316  0.7316  0.7316  3 O 1.72
O  0.0747  0.6894  0.5356  1 Se 1.72
O  0.3106  0.4644  0.9253  1 Se 1.72
O  0.4644  0.9253  0.3106  1 Se 1.72
O  0.5356  0.0747  0.6894  1 Se 1.72
O  0.6894  0.5356  0.0747  1 Se 1.72
O  0.9253  0.3106  0.4644  1 Se 1.72

Calculated values
D(E_F)	0.000	states/eV per atom

=====

3.
Material: RbUSe2O
Method: DFT, PBE-GGA
State: optimized geometry

abc: 7.9531 4.2502 9.4854
angles: 90.00 106.63 90.00
With the nearest neighbours (Å) after each atom.
Positions (direct):
Rb  0.1857  0.2500  0.3147  2 O 2.88
Rb  0.8143  0.7500  0.6853  2 O 2.88
U  0.3123  0.2500  0.8260  1 O 1.86
U  0.6877  0.7500  0.1740  1 O 1.86
Se  0.3171  0.7500  0.0376  3 U 2.86-2.92
Se  0.3427  0.7500  0.6416  2 U 2.81
Se  0.6573  0.2500  0.3584  2 U 2.81
Se  0.6829  0.2500  0.9624  3 U 2.86-2.92
O  0.0677  0.2500  0.7661  1 U 1.86
O  0.9323  0.7500  0.2339  1 U 1.86

Calculated values
D(E_F)	0.941	states/eV per atom

=====

4.
Material: RbU2SeO4
Method: DFT, PBE-GGA
State: optimized geometry

abc: 3.8428 3.8428 10.0758
angles: 90.00 90.00 90.00
With the nearest neighbours (Å) after each atom.
Positions (direct):
Rb  0.0000  0.0000  0.0000  8 O 2.91
U  0.5000  0.5000  0.3058  4 O 2.12
U  0.5000  0.5000  0.6942  4 O 2.12
Se  0.0000  0.0000  0.5000  8 U 3.35, 8 O 3.44
O  0.0000  0.5000  0.2164  2 U 2.12
O  0.0000  0.5000  0.7836  2 U 2.12
O  0.5000  0.0000  0.2164  2 U 2.12
O  0.5000  0.0000  0.7836  2 U 2.12

Calculated values
D(E_F)	0.855	states/eV per atom

=====

5.
Material: Rb3U2Se2O5
Method: DFT, PBE-GGA
State: optimized geometry

abc: 14.7486 14.7486 14.7486
angles: 163.06 163.06 24.05
With the nearest neighbours (Å) after each atom.
Positions (direct):
Rb  0.0000  0.0000  0.0000  12 O 3.02-3.07
Rb  0.2002  0.2002  0.0000  4 Se 3.20
Rb  0.7998  0.7998  0.0000  4 Se 3.20
U  0.4250  0.4250  0.0000  5 O 2.16-2.17
U  0.5750  0.5750  0.0000  5 O 2.16-2.17
Se  0.3313  0.3313  0.0000  1 U 2.70
Se  0.6687  0.6687  0.0000  1 U 2.70
O  0.0725  0.5725  0.5000  2 U 2.17
O  0.4275  0.9275  0.5000  2 U 2.17
O  0.5000  0.5000  0.0000  2 U 2.16
O  0.5725  0.0725  0.5000  2 U 2.17
O  0.9275  0.4275  0.5000  2 U 2.17

Calculated values
D(E_F)	0.569	states/eV per atom

=====

6.
Material: Rb2USe2O2
Method: DFT, PBE-GGA
State: optimized geometry

abc: 4.3363 4.3363 20.0950
angles: 90.00 90.00 90.00
With the nearest neighbours (Å) after each atom.
Positions (direct):
Rb  0.0000  0.0000  0.1769  4 Se 3.19
Rb  0.0000  0.0000  0.8231  4 Se 3.19
Rb  0.5000  0.5000  0.3231  4 Se 3.19
Rb  0.5000  0.5000  0.6769  4 Se 3.19
U  0.0000  0.0000  0.5000  4 O 2.17
U  0.5000  0.5000  0.0000  4 O 2.17
Se  0.0000  0.0000  0.3661  1 U 2.69
Se  0.0000  0.0000  0.6339  1 U 2.69
Se  0.5000  0.5000  0.1339  1 U 2.69
Se  0.5000  0.5000  0.8661  1 U 2.69
O  0.0000  0.5000  0.0000  2 U 2.17
O  0.0000  0.5000  0.5000  2 U 2.17
O  0.5000  0.0000  0.0000  2 U 2.17
O  0.5000  0.0000  0.5000  2 U 2.17

=====

| no. | volume (Å³/cell) | E_form (uncorrected) (eV per formula unit) | M_tot (Bohr magnetons per cell) |
| --- | --- | --- | --- |
| 1 | 245.5 | -9.98 | 1.052 |
| 2 | 181.4 | -17.49 | 0.000 |
| 3 | 307.2 | -8.82 | 2.000 |
| 4 | 148.8 | -19.85 | 3.000 |
| 5 | 272.3 | -27.22 | 1.001 |
| 6 | 377.9 | -12.71 | 0.000 |